MgScAlNi | GGA-PBE | optimized geometry

Unit cell a=4.501 b=4.501 c=4.501 alpha=60.00 beta=60.00 gamma=60.00
Atoms (fractional coordinates):
Mg1 0.000 0.000 0.000
Sc1 0.750 0.750 0.750
Al1 0.250 0.250 0.250
Ni1 0.500 0.500 0.500

Results
**SG**: F-43m
**Crystal system**: cubic
**E_tot**: -18.8 eV/cell